The following is a DFT calculation (GGA-PBE) of a relaxed structure of Sm6TmCd5.

N(E_F)	1.33	states/eV per atom
energy	-80.12	eV/cell
ΔH_f (0 K)	-225	meV/atom

CIF file:
```
data_Sm6TmCd5
_cell_length_a 5.368
_cell_length_b 7.786
_cell_length_c 16.281
_cell_angle_alpha 90.00
_cell_angle_beta 90.00
_cell_angle_gamma 90.00
_space_group_name_H-M_alt 'I m m m'
_space_group_IT_number 71
_space_group_name_Hall '-I 2 2'
loop_
_atom_site_label
_atom_site_fract_x
_atom_site_fract_y
_atom_site_fract_z
_atom_site_occupancy
Sm1 0.000 0.234 0.000 1
Sm2 0.000 0.255 0.329 1
Tm1 0.000 0.000 0.500 1
Cd1 0.000 0.000 0.168 1
Cd2 0.000 0.500 0.154 1
Cd3 0.000 0.500 0.500 1
```